Density functional theory data (PBE) for a geometry-optimized PaTcB structure.

Calculated values
Symmetry: I4mm, No. 107
Energy of formation from the pure elements: 0.363 eV/atom
Mass density: 10.3 Mg/m³
VASP energy: -8.484 eV/atom
Energy above the lowest structure with this stoichiometry: 557 meV per atom

Unit cell a=4.692 b=4.692 c=4.692 alpha=132.58 beta=132.58 gamma=69.31
Fractional coordinates of all 3 atoms:
Pa 0.000 0.000 0.000
Tc 0.592 0.592 0.000
B 0.335 0.335 0.000